1.
The following is a DFT calculation (PBE) of a relaxed La2AgS crystal.

The structure in POSCAR format:
```
La2AgS
1.0
-2.525 -2.413 2.225
-2.758 -2.428 -1.909
3.396 -7.258 -0.166
La Ag S
2 1 1
Cartesian
2.276 -6.033 -0.107 La
-0.634 -2.847 0.046 La
-0.938 -6.055 0.075 Ag
-0.138 -10.472 0.045 S
```

Calculated values
DOS(E_F) ... 3.743 states/eV/cell
E above lowest polymorph ... 0.000 eV/atom
Energy relative to the elements, uncorrected ... -1074 meV/atom
Space-group type ... No. 160
Calculated density ... 6.11 Mg/m³

=====

2.
The following is a DFT calculation (PBE) of a relaxed LaAg2S2 crystal.

The structure in POSCAR format:
```
LaAg2S2
1.0
-4.233 -3.131 5.453
-3.002 -4.769 -5.069
2.662 -2.405 0.686
S Ag La
4 4 2
Cartesian
-1.616 -5.166 -2.115 S
-4.034 -7.210 0.103 S
-2.957 -5.139 3.184 S
-0.540 -3.095 0.966 S
-4.246 -5.382 -2.389 Ag
-5.586 -5.713 1.649 Ag
-2.990 -2.519 2.773 Ag
-1.650 -2.187 -1.265 Ag
0.000 0.000 0.000 La
-3.618 -3.950 0.192 La
```

Calculated values
DOS(E_F) ... 2.588 states/eV/cell
E above lowest polymorph ... 0.101 eV/atom
Energy relative to the elements, uncorrected ... -540 meV/atom
Space-group type ... No. 127
Calculated density ... 6.63 Mg/m³

=====

3.
The following is a DFT calculation (PBE) of a relaxed LaAg2S2 crystal.

The structure in POSCAR format:
```
LaAg2S2
1.0
4.902 0.000 0.000
0.000 4.902 0.000
2.451 2.451 4.493
S Ag La
2 2 1
Cartesian
4.902 2.451 2.246 S
2.451 4.902 2.246 S
2.451 2.451 1.310 Ag
4.902 4.902 3.183 Ag
0.000 0.000 0.000 La
```

Calculated values
DOS(E_F) ... 2.221 states/eV/cell
E above lowest polymorph ... 0.000 eV/atom
Energy relative to the elements, uncorrected ... -641 meV/atom
Space-group type ... No. 139
Calculated density ... 6.44 Mg/m³

=====

4.
The following is a DFT calculation (PBE) of a relaxed La2AgSbS5 crystal.

The structure in POSCAR format:
```
La2AgSbS5
1.0
-1.919 -0.992 -3.496
8.309 -3.333 -1.198
-3.387 -10.148 4.739
La Ag Sb S
4 2 2 10
Cartesian
1.975 -11.622 -0.201 La
-0.370 -7.966 2.464 La
0.651 -3.980 0.773 La
3.814 -5.186 -3.037 La
1.467 -7.347 -1.136 Ag
0.052 -11.570 3.255 Ag
-3.030 -11.222 2.433 Sb
4.401 -8.142 -0.104 Sb
5.388 -2.835 -2.153 S
-0.670 -10.535 0.942 S
-3.388 -8.637 1.896 S
2.303 -9.126 1.327 S
4.070 -10.099 -1.783 S
-0.707 -6.611 -0.151 S
3.131 -5.563 -0.139 S
6.123 -6.640 -1.475 S
1.273 -3.630 -2.084 S
0.043 -1.048 0.274 S
```

Calculated values
Energy relative to the elements, uncorrected ... -1225 meV/atom
Space-group type ... No. 36
Calculated density ... 5.24 Mg/m³

=====

5.
The following is a DFT calculation (PBE) of a relaxed LaScAgS2 crystal.

The structure in POSCAR format:
```
LaScAgS2
1.0
5.009 0.000 0.000
0.000 5.307 0.000
0.000 0.000 5.009
Sc S Ag La
1 2 1 1
Cartesian
2.504 2.654 2.504 Sc
0.000 0.000 2.504 S
2.504 0.000 0.000 S
0.000 0.000 0.000 Ag
0.000 2.654 0.000 La
```

Calculated values
DOS(E_F) ... 3.958 states/eV/cell
Energy relative to the elements, uncorrected ... 172 meV/atom
Space-group type ... No. 123
Calculated density ... 4.44 Mg/m³

=====

6.
The following is a DFT calculation (PBE) of a relaxed La4AgSe2S crystal.

The structure in POSCAR format:
```
La4AgSe2S
1.0
4.296 0.000 0.000
0.000 7.487 -0.144
0.000 2.640 7.010
La Ag Se S
4 1 2 1
Cartesian
0.000 7.593 5.065 La
4.296 2.534 1.801 La
2.148 6.281 1.745 La
2.148 3.846 5.120 La
2.148 3.744 -0.072 Ag
0.000 2.640 7.010 Se
2.148 1.320 3.505 Se
0.000 5.063 3.433 S
```

Calculated values
DOS(E_F) ... 6.218 states/eV/cell
Energy relative to the elements, uncorrected ... -1542 meV/atom
Space-group type ... No. 10
Calculated density ... 6.24 Mg/m³

=====

7.
The following is a DFT calculation (PBE) of a relaxed La3SiAgS7 crystal.

The structure in POSCAR format:
```
La3SiAgS7
1.0
10.486 0.000 0.000
-5.243 9.081 0.000
0.000 0.000 5.837
La Si Ag S
6 2 2 14
Cartesian
5.854 5.818 3.600 La
-2.111 7.978 0.681 La
2.722 6.920 0.681 La
2.520 2.161 3.600 La
7.354 1.102 3.600 La
-0.611 3.263 0.681 La
5.243 3.027 1.194 Si
0.000 6.054 4.113 Si
0.000 0.000 3.345 Ag
0.000 0.000 0.426 Ag
5.243 3.027 4.916 S
0.000 6.054 1.997 S
0.356 8.005 4.948 S
3.731 4.311 2.029 S
7.111 3.694 2.029 S
-1.868 5.386 4.948 S
1.852 1.612 0.604 S
-0.470 2.410 3.522 S
-2.921 8.283 3.522 S
8.164 0.798 0.604 S
5.712 6.671 0.604 S
3.391 7.469 3.522 S
4.887 1.076 2.029 S
1.512 4.770 4.948 S
```

Calculated values
DOS(E_F) ... 0.000 states/eV/cell
Energy relative to the elements, uncorrected ... -1611 meV/atom
Space-group type ... No. 173
Calculated density ... 4.64 Mg/m³

=====

8.
The following is a DFT calculation (PBE) of a relaxed La2AgSnS5 crystal.

The structure in POSCAR format:
```
La2AgSnS5
1.0
4.122 0.000 0.000
-2.061 8.752 0.000
0.000 0.000 11.564
La Ag Sn S
4 2 2 10
Cartesian
2.061 6.694 9.297 La
0.000 2.275 7.904 La
0.000 2.058 3.515 La
2.061 6.477 2.122 La
2.061 4.762 5.598 Ag
0.000 3.990 11.380 Ag
2.061 1.490 11.424 Sn
0.000 7.261 5.642 Sn
0.000 6.479 11.547 S
2.061 3.609 9.639 S
2.061 0.265 9.103 S
0.000 5.385 7.613 S
2.061 8.296 6.786 S
2.061 2.272 5.766 S
0.000 5.143 3.857 S
0.000 8.487 3.321 S
2.061 3.367 1.831 S
0.000 0.456 1.004 S
```

Calculated values
DOS(E_F) ... 6.118 states/eV/cell
Energy relative to the elements, uncorrected ... -1267 meV/atom
Space-group type ... No. 36
Calculated density ... 5.29 Mg/m³